(1)
TcW2Se: relaxed, PBE.

Output
calculated total energy = -9.075 eV/atom
DOS(E_F) = 1.5706 states/eV per atom
size of the total moment = 0.00 μB/f.u.

```
data_TcW2Se
_cell_length_a 3.780
_cell_length_b 3.780
_cell_length_c 18.969
_cell_angle_alpha 90.00
_cell_angle_beta 90.00
_cell_angle_gamma 90.00
_space_group_name_H-M_alt 'I -4 2 d'
_space_group_IT_number 122
_space_group_name_Hall 'I -4 2bw'
loop_
_atom_site_label
_atom_site_type_symbol
_atom_site_fract_x
_atom_site_fract_y
_atom_site_fract_z
Tc1 Tc 0.000 0.000 0.000
W1 W 0.247 0.250 0.625
Se1 Se 0.000 0.000 0.500
```

(2)
Tc4WSe: relaxed, PBE.

Output
calculated total energy = -8.990 eV/atom
DOS(E_F) = 1.4471 states/eV per atom
size of the total moment = 0.00 μB/f.u.

```
data_Tc4WSe
_cell_length_a 7.275
_cell_length_b 7.275
_cell_length_c 7.275
_cell_angle_alpha 90.00
_cell_angle_beta 90.00
_cell_angle_gamma 90.00
_space_group_name_H-M_alt 'F -4 3 m'
_space_group_IT_number 216
_space_group_name_Hall 'F -4 2 3'
loop_
_atom_site_label
_atom_site_type_symbol
_atom_site_fract_x
_atom_site_fract_y
_atom_site_fract_z
Tc1 Tc 0.125 0.125 0.125
W1 W 0.250 0.250 0.750
Se1 Se 0.000 0.000 0.500
```